(1)
A plane-wave DFT calculation with PBE was carried out for an optimized crystal structure of ReNi4.

a b c (Å): 4.4409 4.4409 4.4409
angles (deg): 90.00 90.00 90.00
With the nearest neighbours (Å) after each atom.
Sites, in units of the cell vectors:
Re (0.0000, 0.0000, 0.0000)  6 Ni 2.22
Ni (0.0000, 0.0000, 0.5000)  2 Re 2.22
Ni (0.0000, 0.5000, 0.0000)  2 Re 2.22
Ni (0.5000, 0.0000, 0.0000)  2 Re 2.22
Ni (0.5000, 0.5000, 0.5000)  12 Ni 3.14

E_form: 1615 meV/atom
relative energy among the computed polymorphs: 1.6713 eV/atom
symmetry: Pm-3m
volume: 87.6 Å³/cell

***

(2)
A plane-wave DFT calculation with PBE was carried out for an optimized crystal structure of Re2Ni.

a b c (Å): 5.8056 5.8056 3.8862
angles (deg): 90.00 90.00 140.87
With the nearest neighbours (Å) after each atom.
Sites, in units of the cell vectors:
Re (0.0856, 0.9144, 0.7500)  6 Re 2.63-2.70, 6 Ni 2.66-2.75
Re (0.2525, 0.7475, 0.2500)  8 Re 2.63-2.75, 4 Ni 2.67-2.71
Re (0.7475, 0.2525, 0.7500)  8 Re 2.63-2.75, 4 Ni 2.67-2.71
Re (0.9144, 0.0856, 0.2500)  6 Re 2.63-2.70, 6 Ni 2.66-2.75
Ni (0.4197, 0.5803, 0.7500)  2 Ni 2.62, 10 Re 2.66-2.75
Ni (0.5803, 0.4197, 0.2500)  2 Ni 2.62, 10 Re 2.66-2.75

E_form: 23 meV/atom
relative energy among the computed polymorphs: 0.0591 eV/atom
symmetry: Cmcm
volume: 82.7 Å³/cell

***

(3)
A plane-wave DFT calculation with PBE was carried out for an optimized crystal structure of ReNi2.

a b c (Å): 4.8764 4.8764 6.1650
angles (deg): 105.14 105.14 31.30
With the nearest neighbours (Å) after each atom.
Sites, in units of the cell vectors:
Re (0.0227, 0.0227, 0.3001)  9 Ni 2.56-2.61, 3 Re 2.61-2.63
Re (0.9773, 0.9773, 0.6999)  9 Ni 2.56-2.61, 3 Re 2.61-2.63
Ni (0.3035, 0.3035, 0.3659)  7 Ni 2.53-2.64, 5 Re 2.56-2.61
Ni (0.3589, 0.3589, 0.9687)  8 Ni 2.55-2.64, 4 Re 2.56-2.59
Ni (0.6411, 0.6411, 0.0313)  8 Ni 2.55-2.64, 4 Re 2.56-2.59
Ni (0.6965, 0.6965, 0.6341)  7 Ni 2.53-2.64, 5 Re 2.56-2.61

E_form: -22 meV/atom
relative energy among the computed polymorphs: 0.0285 eV/atom
symmetry: C2/m
volume: 73.3 Å³/cell

***

(4)
A plane-wave DFT calculation with PBE was carried out for an optimized crystal structure of ReNi2.

a b c (Å): 4.6550 4.6550 4.6550
angles (deg): 60.00 60.00 60.00
With the nearest neighbours (Å) after each atom.
Sites, in units of the cell vectors:
Re (0.1250, 0.1250, 0.1250)  12 Ni 2.73, 4 Re 2.85
Re (0.8750, 0.8750, 0.8750)  12 Ni 2.73, 4 Re 2.85
Ni (0.0000, 0.5000, 0.5000)  6 Ni 2.33
Ni (0.5000, 0.0000, 0.5000)  6 Ni 2.33
Ni (0.5000, 0.5000, 0.0000)  6 Ni 2.33
Ni (0.5000, 0.5000, 0.5000)  6 Ni 2.33

E_form: 29 meV/atom
relative energy among the computed polymorphs: 0.0790 eV/atom
symmetry: Fd-3m
volume: 71.3 Å³/cell

***

(5)
A plane-wave DFT calculation with PBE was carried out for an optimized crystal structure of Re2Ni.

a b c (Å): 7.2496 7.2496 2.6970
angles (deg): 90.00 90.00 120.00
With the nearest neighbours (Å) after each atom.
Sites, in units of the cell vectors:
Re (0.0000, 0.3036, 0.0000)  4 Ni 2.53-2.58, 8 Re 2.70-2.79
Re (0.0000, 0.6373, 0.5000)  5 Ni 2.63-2.68, 8 Re 2.70-2.79
Re (0.3036, 0.0000, 0.0000)  4 Ni 2.53-2.58, 8 Re 2.70-2.79
Re (0.3627, 0.3627, 0.5000)  5 Ni 2.63-2.68, 8 Re 2.70-2.79
Re (0.6373, 0.0000, 0.5000)  5 Ni 2.63-2.68, 8 Re 2.70-2.79
Re (0.6964, 0.6964, 0.0000)  4 Ni 2.53-2.58, 8 Re 2.70-2.79
Ni (0.0000, 0.0000, 0.5000)  9 Re 2.58-2.63, 2 Ni 2.70
Ni (0.3333, 0.6667, 0.0000)  9 Re 2.53-2.68, 2 Ni 2.70
Ni (0.6667, 0.3333, 0.0000)  9 Re 2.53-2.68, 2 Ni 2.70

E_form: 6 meV/atom
relative energy among the computed polymorphs: 0.0424 eV/atom
symmetry: P-62m
volume: 122.8 Å³/cell

***

(6)
A plane-wave DFT calculation with PBE was carried out for an optimized crystal structure of Re3Ni.

a b c (Å): 2.7181 2.7181 7.6342
angles (deg): 90.00 90.00 90.00
With the nearest neighbours (Å) after each atom.
Sites, in units of the cell vectors:
Re (0.0000, 0.0000, 0.0000)  12 Re 2.72-2.76
Re (0.5000, 0.5000, 0.2592)  4 Ni 2.66, 8 Re 2.72-2.76
Re (0.5000, 0.5000, 0.7408)  4 Ni 2.66, 8 Re 2.72-2.76
Ni (0.0000, 0.0000, 0.5000)  8 Re 2.66, 4 Ni 2.72

E_form: 112 meV/atom
symmetry: P4/mmm
volume: 56.4 Å³/cell

***

(7)
A plane-wave DFT calculation with PBE was carried out for an optimized crystal structure of ReNi2.

a b c (Å): 4.9146 4.9146 6.1555
angles (deg): 105.21 105.21 31.09
With the nearest neighbours (Å) after each atom.
Sites, in units of the cell vectors:
Re (0.1888, 0.1888, 0.1432)  8 Ni 2.55-2.62, 4 Re 2.63-2.70
Re (0.8112, 0.8112, 0.8568)  8 Ni 2.55-2.62, 4 Re 2.63-2.70
Ni (0.1414, 0.1414, 0.5331)  9 Ni 2.54-2.63, 3 Re 2.56
Ni (0.4727, 0.4727, 0.2042)  7 Ni 2.54-2.70, 5 Re 2.55-2.62
Ni (0.5273, 0.5273, 0.7958)  7 Ni 2.54-2.70, 5 Re 2.55-2.62
Ni (0.8586, 0.8586, 0.4669)  9 Ni 2.54-2.63, 3 Re 2.56

E_form: 45 meV/atom
relative energy among the computed polymorphs: 0.0950 eV/atom
symmetry: C2/m
volume: 73.9 Å³/cell

***

(8)
A plane-wave DFT calculation with PBE was carried out for an optimized crystal structure of Re3Ni2.

a b c (Å): 6.8073 5.1132 7.8586
angles (deg): 58.86 40.01 81.14
With the nearest neighbours (Å) after each atom.
Sites, in units of the cell vectors:
Re (0.0000, 0.0000, 0.0000)  6 Ni 2.52-2.77, 4 Re 2.59-2.81
Re (0.2500, 0.2500, 0.2500)  6 Ni 2.52-2.77, 4 Re 2.59-2.81
Re (0.4151, 0.5303, 0.3792)  6 Ni 2.56-2.76, 6 Re 2.59-2.85
Re (0.5303, 0.4151, 0.6754)  6 Ni 2.56-2.76, 6 Re 2.59-2.85
Re (0.5746, 0.8708, 0.7197)  6 Ni 2.56-2.76, 6 Re 2.59-2.85
Re (0.8708, 0.5746, 0.8349)  6 Ni 2.56-2.76, 6 Re 2.59-2.85
Ni (0.1287, 0.7778, 0.2780)  9 Re 2.52-2.77, 2 Ni 2.65
Ni (0.4346, 0.9720, 0.4722)  9 Re 2.52-2.77, 2 Ni 2.65
Ni (0.7778, 0.1287, 0.8154)  9 Re 2.52-2.77, 2 Ni 2.65
Ni (0.9720, 0.4346, 0.1213)  9 Re 2.52-2.77, 2 Ni 2.65

E_form: 125 meV/atom
relative energy among the computed polymorphs: 0.0068 eV/atom
symmetry: Fdd2
volume: 135.2 Å³/cell